# InFePd2, optimized geometry, DFT GGA-PBE
data_InFePd2
_symmetry_space_group_name_H-M 'I -4 2 d'
_symmetry_Int_Tables_number 122
_symmetry_space_group_name_Hall 'I -4 2bw'
_cell_length_a 3.929
_cell_length_b 3.929
_cell_length_c 18.186
_cell_angle_alpha 90.00
_cell_angle_beta 90.00
_cell_angle_gamma 90.00
loop_
_atom_site_label
_atom_site_fract_x
_atom_site_fract_y
_atom_site_fract_z
In1 0.000 0.000 0.000
Fe1 0.000 0.000 0.500
Pd1 0.239 0.250 0.625
# energy relative to the elements = 0.142 eV/atom


# InFePdPt, optimized geometry, DFT GGA-PBE
data_InFePdPt
_symmetry_space_group_name_H-M 'F -4 3 m'
_symmetry_Int_Tables_number 216
_symmetry_space_group_name_Hall 'F -4 2 3'
_cell_length_a 6.372
_cell_length_b 6.372
_cell_length_c 6.372
_cell_angle_alpha 90.00
_cell_angle_beta 90.00
_cell_angle_gamma 90.00
loop_
_atom_site_label
_atom_site_fract_x
_atom_site_fract_y
_atom_site_fract_z
In1 0.000 0.000 0.000
Fe1 0.000 0.000 0.500
Pd1 0.250 0.250 0.750
Pt1 0.250 0.250 0.250
# energy relative to the elements = -0.239 eV/atom


# InFePdRh, optimized geometry, DFT GGA-PBE
data_InFePdRh
_symmetry_space_group_name_H-M 'F -4 3 m'
_symmetry_Int_Tables_number 216
_symmetry_space_group_name_Hall 'F -4 2 3'
_cell_length_a 6.302
_cell_length_b 6.302
_cell_length_c 6.302
_cell_angle_alpha 90.00
_cell_angle_beta 90.00
_cell_angle_gamma 90.00
loop_
_atom_site_label
_atom_site_fract_x
_atom_site_fract_y
_atom_site_fract_z
In1 0.000 0.000 0.000
Fe1 0.000 0.000 0.500
Pd1 0.250 0.250 0.750
Rh1 0.250 0.250 0.250
# energy relative to the elements = -0.206 eV/atom


# InFeSbPd2, optimized geometry, DFT GGA-PBE
data_InFeSbPd2
_symmetry_space_group_name_H-M 'P 4/m m m'
_symmetry_Int_Tables_number 123
_symmetry_space_group_name_Hall '-P 4 2'
_cell_length_a 4.792
_cell_length_b 4.792
_cell_length_c 4.753
_cell_angle_alpha 90.00
_cell_angle_beta 90.00
_cell_angle_gamma 90.00
loop_
_atom_site_label
_atom_site_fract_x
_atom_site_fract_y
_atom_site_fract_z
In1 0.000 0.000 0.000
Fe1 0.500 0.500 0.500
Sb1 0.500 0.500 0.000
Pd1 0.000 0.500 0.500
# formation energy (no corrections) = 0.421 eV per atom


# ScInFePd, optimized geometry, DFT GGA-PBE
data_ScInFePd
_symmetry_space_group_name_H-M 'F -4 3 m'
_symmetry_Int_Tables_number 216
_symmetry_space_group_name_Hall 'F -4 2 3'
_cell_length_a 6.402
_cell_length_b 6.402
_cell_length_c 6.402
_cell_angle_alpha 90.00
_cell_angle_beta 90.00
_cell_angle_gamma 90.00
loop_
_atom_site_label
_atom_site_fract_x
_atom_site_fract_y
_atom_site_fract_z
Sc1 0.000 0.000 0.000
In1 0.000 0.000 0.500
Fe1 0.250 0.250 0.750
Pd1 0.250 0.250 0.250
# energy relative to the elements = -0.329 eV/atom


# TiInFePd, optimized geometry, DFT GGA-PBE
data_TiInFePd
_symmetry_space_group_name_H-M 'F -4 3 m'
_symmetry_Int_Tables_number 216
_symmetry_space_group_name_Hall 'F -4 2 3'
_cell_length_a 6.308
_cell_length_b 6.308
_cell_length_c 6.308
_cell_angle_alpha 90.00
_cell_angle_beta 90.00
_cell_angle_gamma 90.00
loop_
_atom_site_label
_atom_site_fract_x
_atom_site_fract_y
_atom_site_fract_z
Ti1 0.000 0.000 0.000
In1 0.000 0.000 0.500
Fe1 0.250 0.250 0.250
Pd1 0.250 0.250 0.750
# energy relative to the elements = -0.270 eV/atom


# Pm2InFe, optimized geometry, DFT GGA-PBE
data_Pm2InFe
_symmetry_space_group_name_H-M 'P 4/m m m'
_symmetry_Int_Tables_number 123
_symmetry_space_group_name_Hall '-P 4 2'
_cell_length_a 3.607
_cell_length_b 3.607
_cell_length_c 7.734
_cell_angle_alpha 90.00
_cell_angle_beta 90.00
_cell_angle_gamma 90.00
loop_
_atom_site_label
_atom_site_fract_x
_atom_site_fract_y
_atom_site_fract_z
Pm1 0.000 0.000 0.218
In1 0.500 0.500 0.500
Fe1 0.500 0.500 0.000
# energy relative to the elements = -0.096 eV/atom


# Pm3InFe, optimized geometry, DFT GGA-PBE
data_Pm3InFe
_symmetry_space_group_name_H-M 'P m -3 m'
_symmetry_Int_Tables_number 221
_symmetry_space_group_name_Hall '-P 4 2 3'
_cell_length_a 5.217
_cell_length_b 5.217
_cell_length_c 5.217
_cell_angle_alpha 90.00
_cell_angle_beta 90.00
_cell_angle_gamma 90.00
loop_
_atom_site_label
_atom_site_fract_x
_atom_site_fract_y
_atom_site_fract_z
Pm1 0.000 0.000 0.500
In1 0.500 0.500 0.500
Fe1 0.000 0.000 0.000
# energy relative to the elements = -0.041 eV/atom


# PmInFe4, optimized geometry, DFT GGA-PBE
data_PmInFe4
_symmetry_space_group_name_H-M 'F -4 3 m'
_symmetry_Int_Tables_number 216
_symmetry_space_group_name_Hall 'F -4 2 3'
_cell_length_a 7.234
_cell_length_b 7.234
_cell_length_c 7.234
_cell_angle_alpha 90.00
_cell_angle_beta 90.00
_cell_angle_gamma 90.00
loop_
_atom_site_label
_atom_site_fract_x
_atom_site_fract_y
_atom_site_fract_z
Pm1 0.000 0.000 0.000
In1 0.250 0.250 0.750
Fe1 0.125 0.125 0.375
# energy relative to the elements = 0.013 eV/atom


# Pm6InFe2, optimized geometry, DFT GGA-PBE
data_Pm6InFe2
_symmetry_space_group_name_H-M 'I m m m'
_symmetry_Int_Tables_number 71
_symmetry_space_group_name_Hall '-I 2 2'
_cell_length_a 9.703
_cell_length_b 10.016
_cell_length_c 10.290
_cell_angle_alpha 90.00
_cell_angle_beta 90.00
_cell_angle_gamma 90.00
loop_
_atom_site_label
_atom_site_fract_x
_atom_site_fract_y
_atom_site_fract_z
Pm1 0.000 0.214 0.226
Pm2 0.203 0.500 0.189
Pm3 0.210 0.312 0.500
In1 0.000 0.000 0.000
In2 0.000 0.000 0.500
Fe1 0.000 0.390 0.000
Fe2 0.000 0.500 0.394
# energy relative to the elements = -0.087 eV/atom


# Pm2InFe2Rh5, optimized geometry, DFT GGA-PBE
data_Pm2InFe2Rh5
_symmetry_space_group_name_H-M 'P 4/m b m'
_symmetry_Int_Tables_number 127
_symmetry_space_group_name_Hall '-P 4 2ab'
_cell_length_a 9.695
_cell_length_b 9.695
_cell_length_c 3.766
_cell_angle_alpha 90.00
_cell_angle_beta 90.00
_cell_angle_gamma 90.00
loop_
_atom_site_label
_atom_site_fract_x
_atom_site_fract_y
_atom_site_fract_z
Pm1 0.180 0.320 0.000
In1 0.000 0.000 0.000
Fe1 0.118 0.618 0.000
Rh1 0.000 0.500 0.500
Rh2 0.066 0.786 0.500
# energy relative to the elements = -0.376 eV/atom


# Pr6InFe13, optimized geometry, DFT GGA-PBE
data_Pr6InFe13
_symmetry_space_group_name_H-M 'I 4/m c m'
_symmetry_Int_Tables_number 140
_symmetry_space_group_name_Hall '-I 4 2c'
_cell_length_a 8.073
_cell_length_b 8.073
_cell_length_c 23.761
_cell_angle_alpha 90.00
_cell_angle_beta 90.00
_cell_angle_gamma 90.00
loop_
_atom_site_label
_atom_site_fract_x
_atom_site_fract_y
_atom_site_fract_z
Pr1 0.000 0.000 0.104
Pr2 0.164 0.336 0.184
In1 0.000 0.000 0.250
Fe1 0.000 0.500 0.000
Fe2 0.066 0.210 0.500
Fe3 0.113 0.387 0.408
Fe4 0.179 0.321 0.057
# energy relative to the elements = -0.037 eV/atom


# Pr3InFe, optimized geometry, DFT GGA-PBE
data_Pr3InFe
_symmetry_space_group_name_H-M 'P m -3 m'
_symmetry_Int_Tables_number 221
_symmetry_space_group_name_Hall '-P 4 2 3'
_cell_length_a 5.282
_cell_length_b 5.282
_cell_length_c 5.282
_cell_angle_alpha 90.00
_cell_angle_beta 90.00
_cell_angle_gamma 90.00
loop_
_atom_site_label
_atom_site_fract_x
_atom_site_fract_y
_atom_site_fract_z
Pr1 0.000 0.000 0.500
In1 0.500 0.500 0.500
Fe1 0.000 0.000 0.000
# energy relative to the elements = -0.030 eV/atom


# Pr3InFeS7, optimized geometry, DFT GGA-PBE
data_Pr3InFeS7
_symmetry_space_group_name_H-M 'P 63'
_symmetry_Int_Tables_number 173
_cell_length_a 10.0404
_cell_length_b 10.0404
_cell_length_c 6.4271
_cell_angle_alpha 90.00
_cell_angle_beta 90.00
_cell_angle_gamma 120.00
loop_
_symmetry_equiv_pos_as_xyz
'x,y,z'
'x-y,x,z+1/2'
'-y,x-y,z'
'-x,-y,z+1/2'
'-x+y,-x,z'
'y,-x+y,z+1/2'
loop_
_atom_site_label
_atom_site_fract_x
_atom_site_fract_y
_atom_site_fract_z
Pr1 0.1547 0.7801 0.0000
In1 0.3333 0.6667 0.5705
Fe1 0.0000 0.0000 0.1750
S1 0.0794 0.5144 0.7410
S2 0.0974 0.8708 0.4068
S3 0.3333 0.6667 0.1938
# formation energy (no corrections) = -1.423 eV per atom


# InFe2Pt, optimized geometry, DFT GGA-PBE
data_InFe2Pt
_symmetry_space_group_name_H-M 'R 3 m'
_symmetry_Int_Tables_number 160
_symmetry_space_group_name_Hall 'R 3 -2"'
_cell_length_a 2.9215
_cell_length_b 2.9215
_cell_length_c 25.2505
_cell_angle_alpha 90.00
_cell_angle_beta 90.00
_cell_angle_gamma 120.00
loop_
_atom_site_label
_atom_site_fract_x
_atom_site_fract_y
_atom_site_fract_z
In1 0.0000 0.0000 0.0000
Fe1 0.0000 0.0000 0.2441
Fe2 0.0000 0.0000 0.5088
Pt1 0.0000 0.0000 0.7598
# energy relative to the elements = 0.130 eV/atom


# InFe2Pt, optimized geometry, DFT GGA-PBE
data_InFe2Pt
_symmetry_space_group_name_H-M 'P m m 2'
_symmetry_Int_Tables_number 25
_cell_length_a 3.008
_cell_length_b 3.158
_cell_length_c 6.292
_cell_angle_alpha 90.00
_cell_angle_beta 90.00
_cell_angle_gamma 90.00
loop_
_symmetry_equiv_pos_as_xyz
'x,y,z'
'-x,-y,z'
'-x,y,z'
'x,-y,z'
loop_
_atom_site_label
_atom_site_fract_x
_atom_site_fract_y
_atom_site_fract_z
In1 0.000 0.000 0.000
Fe1 0.000 0.000 0.540
Fe2 0.500 0.500 0.731
Pt1 0.500 0.500 0.290
# energy relative to the elements = -0.062 eV/atom


# In2FePt, optimized geometry, DFT GGA-PBE
data_In2FePt
_symmetry_space_group_name_H-M 'P 1 m 1'
_symmetry_Int_Tables_number 6
_cell_length_a 3.511
_cell_length_b 4.246
_cell_length_c 5.359
_cell_angle_alpha 90.00
_cell_angle_beta 108.90
_cell_angle_gamma 90.00
loop_
_symmetry_equiv_pos_as_xyz
'x,y,z'
'x,-y,z'
loop_
_atom_site_label
_atom_site_fract_x
_atom_site_fract_y
_atom_site_fract_z
In1 0.000 0.000 0.000
In2 0.309 0.500 0.623
Fe1 0.729 0.000 0.456
Pt1 0.588 0.500 0.179
# energy relative to the elements = -0.028 eV/atom
# excess energy over the best structure of this formula in the dataset = 22 meV per atom


# In2FePt, optimized geometry, DFT GGA-PBE
data_In2FePt
_symmetry_space_group_name_H-M 'I -4 m 2'
_symmetry_Int_Tables_number 119
_symmetry_space_group_name_Hall 'I -4 -2'
_cell_length_a 3.991
_cell_length_b 3.991
_cell_length_c 8.857
_cell_angle_alpha 90.00
_cell_angle_beta 90.00
_cell_angle_gamma 90.00
loop_
_atom_site_label
_atom_site_fract_x
_atom_site_fract_y
_atom_site_fract_z
In1 0.000 0.000 0.000
In2 0.000 0.500 0.250
Fe1 0.000 0.000 0.500
Pt1 0.000 0.500 0.750
# energy relative to the elements = 0.001 eV/atom
# excess energy over the best structure of this formula in the dataset = 51 meV per atom


# InFePt3, optimized geometry, DFT GGA-PBE
data_InFePt3
_symmetry_space_group_name_H-M 'P m -3 m'
_symmetry_Int_Tables_number 221
_symmetry_space_group_name_Hall '-P 4 2 3'
_cell_length_a 4.642
_cell_length_b 4.642
_cell_length_c 4.642
_cell_angle_alpha 90.00
_cell_angle_beta 90.00
_cell_angle_gamma 90.00
loop_
_atom_site_label
_atom_site_fract_x
_atom_site_fract_y
_atom_site_fract_z
In1 0.000 0.000 0.000
Fe1 0.500 0.500 0.500
Pt1 0.000 0.500 0.500
# energy relative to the elements = 0.606 eV/atom
# excess energy over the best structure of this formula in the dataset = 0 meV per atom


# InFe2Pt9, optimized geometry, DFT GGA-PBE
data_InFe2Pt9
_symmetry_space_group_name_H-M 'P 4/m m m'
_symmetry_Int_Tables_number 123
_symmetry_space_group_name_Hall '-P 4 2'
_cell_length_a 3.966
_cell_length_b 3.966
_cell_length_c 11.864
_cell_angle_alpha 90.00
_cell_angle_beta 90.00
_cell_angle_gamma 90.00
loop_
_atom_site_label
_atom_site_fract_x
_atom_site_fract_y
_atom_site_fract_z
In1 0.000 0.000 0.000
Fe1 0.000 0.000 0.335
Pt1 0.000 0.500 0.178
Pt2 0.000 0.500 0.500
Pt3 0.500 0.500 0.000
Pt4 0.500 0.500 0.338
# energy relative to the elements = -0.269 eV/atom


The evaluated uncorrected energy for the records listed, in turn: -5.254, -5.848, -6.142, -4.721, -6.010, -6.342, -5.271, -5.132, -6.877, -5.439, -6.968, -7.108, -5.138, -5.959, -6.297, -6.488, -5.023, -4.994, -5.259, -6.439 eV per atom.
The evaluated density of states at the Fermi level for the records listed, in turn: 0.743, 1.023, 0.889, 0.846, 0.555, 0.585, 1.536, 1.302, 1.208, 0.988, 0.811, 1.065, 1.231, 0.442, 0.573, 0.619, 0.840, 1.007, 1.044, 0.855 states/eV/atom.